No. 1
Below is CeRhBr6 after structural relaxation, with properties calculated at the GGA-PBE level.

Magnetization (μB/atom): 0.1312
Energy relative to the elements, uncorrected (meV/atom): -1004

a b c (Å): 6.7675 6.7675 18.5147
angles (deg): 90.00 90.00 120.00
Space group R-3 (No. 148, hexagonal axes)
One atom of each set of equivalent atoms:
Ce 0.0000 0.0000 0.0000 (multiplicity 3)
Rh 0.0000 0.0000 0.5000 (multiplicity 3)
Br 0.0076 0.6960 0.4213 (multiplicity 18)

No. 2
Below is In2BrCl after structural relaxation, with properties calculated at the GGA-PBE level.

E above lowest polymorph (meV/atom): 16
Magnetization (μB/atom): 0.0000
Energy relative to the elements, uncorrected (meV/atom): -717

a b c (Å): 4.589 4.589 6.813
angles (deg): 90.00 90.00 90.00
Space group P4mm (No. 99)
One atom of each set of equivalent atoms:
In 0.000 0.000 0.000 (multiplicity 1)
In 0.500 0.500 0.499 (multiplicity 1)
Br 0.500 0.500 0.052 (multiplicity 1)
Cl 0.000 0.000 0.430 (multiplicity 1)

No. 3
Below is Ac2CuGePt6 after structural relaxation, with properties calculated at the GGA-PBE level.

Magnetization (μB/atom): 0.0000
Energy of formation (meV per atom): -806

a b c (Å): 12.222 5.577 8.457
angles (deg): 90.00 132.43 90.00
Space group C2/m (No. 12)
One atom of each set of equivalent atoms:
Ac 0.238 0.000 0.199 (multiplicity 4)
Cu 0.000 0.500 0.000 (multiplicity 2)
Ge 0.000 0.000 0.500 (multiplicity 2)
Pt 0.006 0.257 0.265 (multiplicity 8)
Pt 0.248 0.500 0.389 (multiplicity 4)

No. 4
Below is Li3VAu after structural relaxation, with properties calculated at the GGA-PBE level.

Magnetization (μB/atom): 0.8644
Energy of formation (meV per atom): 455

a b c (Å): 4.762 4.762 4.762
angles (deg): 90.00 90.00 90.00
Space group Pm-3m (No. 221)
One atom of each set of equivalent atoms:
Li 0.000 0.000 0.500 (multiplicity 3)
V 0.500 0.500 0.500 (multiplicity 1)
Au 0.000 0.000 0.000 (multiplicity 1)

No. 5
Below is PmScHg6 after structural relaxation, with properties calculated at the GGA-PBE level.

E above lowest polymorph (meV/atom): 32
Magnetization (μB/atom): 0.0000
Energy of formation (meV per atom): -277

a b c (Å): 4.684 4.684 8.768
angles (deg): 90.00 90.00 90.00
Space group P4/mmm (No. 123)
One atom of each set of equivalent atoms:
Pm 0.000 0.000 0.000 (multiplicity 1)
Sc 0.000 0.000 0.500 (multiplicity 1)
Hg 0.000 0.500 0.262 (multiplicity 4)
Hg 0.500 0.500 0.000 (multiplicity 1)
Hg 0.500 0.500 0.500 (multiplicity 1)

No. 6
Below is Sr2GaCl after structural relaxation, with properties calculated at the GGA-PBE level.

E above lowest polymorph (meV/atom): 184
Magnetization (μB/atom): 0.0000
Energy relative to the elements, uncorrected (meV/atom): -860

a b c (Å): 8.056 8.056 8.940
angles (deg): 90.00 90.00 90.00
Space group I-42d (No. 122)
One atom of each set of equivalent atoms:
Sr 0.231 0.250 0.125 (multiplicity 8)
Ga 0.000 0.000 0.500 (multiplicity 4)
Cl 0.000 0.000 0.000 (multiplicity 4)

No. 7
Below is PuTh5In3 after structural relaxation, with properties calculated at the GGA-PBE level.

Magnetization (μB/atom): 0.6824
Energy of formation (meV per atom): -145

a b c (Å): 9.6447 9.6447 6.6643
angles (deg): 90.00 90.00 120.00
Space group P-62m (No. 189)
One atom of each set of equivalent atoms:
Pu 0.0000 0.0000 0.2503 (multiplicity 2)
Th 0.0000 0.3196 0.0000 (multiplicity 3)
Th 0.0000 0.6791 0.5000 (multiplicity 3)
Th 0.3333 0.6667 0.2495 (multiplicity 4)
In 0.0000 0.3439 0.5000 (multiplicity 3)
In 0.0000 0.6549 0.0000 (multiplicity 3)

No. 8
Below is BaTeW2 after structural relaxation, with properties calculated at the GGA-PBE level.

Magnetization (μB/atom): 0.0008
Energy relative to the elements, uncorrected (meV/atom): 1450

a b c (Å): 4.293 4.293 5.228
angles (deg): 90.00 90.00 90.00
Space group P4/mmm (No. 123)
One atom of each set of equivalent atoms:
Ba 0.000 0.000 0.000 (multiplicity 1)
Te 0.500 0.500 0.000 (multiplicity 1)
W 0.000 0.500 0.500 (multiplicity 2)

No. 9
Below is LiErTiPt after structural relaxation, with properties calculated at the GGA-PBE level.

Magnetization (μB/atom): 0.1990
Energy of formation (meV per atom): -462

a b c (Å): 6.648 6.648 6.648
angles (deg): 90.00 90.00 90.00
Space group F-43m (No. 216)
One atom of each set of equivalent atoms:
Li 0.000 0.000 0.000 (multiplicity 4)
Er 0.250 0.250 0.750 (multiplicity 4)
Ti 0.250 0.250 0.250 (multiplicity 4)
Pt 0.000 0.000 0.500 (multiplicity 4)

No. 10
Below is Ti2CuH2 after structural relaxation, with properties calculated at the GGA-PBE level.

E above lowest polymorph (meV/atom): 0
Magnetization (μB/atom): 0.0000

a b c (Å): 3.153 3.153 10.230
angles (deg): 90.00 90.00 90.00
Space group I4/mmm (No. 139)
One atom of each set of equivalent atoms:
Ti 0.000 0.000 0.144 (multiplicity 4)
Cu 0.000 0.000 0.500 (multiplicity 2)
H 0.000 0.500 0.250 (multiplicity 4)

No. 11
Below is RbCuW after structural relaxation, with properties calculated at the GGA-PBE level.

E above lowest polymorph (meV/atom): 569
Magnetization (μB/atom): 0.0001
Energy of formation (meV per atom): 1262

a b c (Å): 4.831 6.033 6.054
angles (deg): 69.75 66.59 66.50
Space group P1 (No. 1)
One atom of each set of equivalent atoms:
Rb 0.000 0.000 0.000 (multiplicity 1)
Rb 0.253 0.248 0.247 (multiplicity 1)
Cu 0.609 0.123 0.624 (multiplicity 1)
Cu 0.609 0.624 0.123 (multiplicity 1)
W 0.539 0.583 0.582 (multiplicity 1)
W 0.955 0.663 0.665 (multiplicity 1)

No. 12
Below is Tl6In2Pb3 after structural relaxation, with properties calculated at the GGA-PBE level.

E above lowest polymorph (meV/atom): 0
Magnetization (μB/atom): 0.0000
Energy of formation (meV per atom): 7

a b c (Å): 6.169 7.397 8.080
angles (deg): 108.95 99.11 100.82
Space group P-1 (No. 2)
One atom of each set of equivalent atoms:
Tl 0.047 0.182 0.409 (multiplicity 2)
Tl 0.130 0.546 0.226 (multiplicity 2)
Tl 0.327 0.268 0.867 (multiplicity 2)
In 0.219 0.909 0.047 (multiplicity 2)
Pb 0.416 0.647 0.690 (multiplicity 2)
Pb 0.500 0.000 0.500 (multiplicity 1)

No. 13
Below is TcAg after structural relaxation, with properties calculated at the GGA-PBE level.

E above lowest polymorph (meV/atom): 0
Magnetization (μB/atom): 0.0000
Energy of formation (meV per atom): 172

a b c (Å): 2.8151 2.8151 28.2067
angles (deg): 90.00 90.00 120.00
Space group R-3m (No. 166, hexagonal axes)
One atom of each set of equivalent atoms:
Tc 0.0000 0.0000 0.1312 (multiplicity 6)
Ag 0.0000 0.0000 0.2892 (multiplicity 6)

No. 14
Below is PrYTlBi after structural relaxation, with properties calculated at the GGA-PBE level.

Magnetization (μB/atom): 0.0004
Energy of formation (meV per atom): -458

a b c (Å): 7.831 7.831 7.831
angles (deg): 90.00 90.00 90.00
Space group F-43m (No. 216)
One atom of each set of equivalent atoms:
Pr 0.000 0.000 0.000 (multiplicity 4)
Y 0.000 0.000 0.500 (multiplicity 4)
Tl 0.250 0.250 0.750 (multiplicity 4)
Bi 0.250 0.250 0.250 (multiplicity 4)

No. 15
Below is CsCd2Se after structural relaxation, with properties calculated at the GGA-PBE level.

Magnetization (μB/atom): 0.0000
Energy relative to the elements, uncorrected (meV/atom): -243

a b c (Å): 9.307 9.307 6.939
angles (deg): 90.00 90.00 90.00
Space group I-42d (No. 122)
One atom of each set of equivalent atoms:
Cs 0.000 0.000 0.000 (multiplicity 4)
Cd 0.167 0.250 0.625 (multiplicity 8)
Se 0.000 0.000 0.500 (multiplicity 4)

No. 16
Below is Ac6OsPd2Rh after structural relaxation, with properties calculated at the GGA-PBE level.

Magnetization (μB/atom): 0.0000
Energy of formation (meV per atom): -464

a b c (Å): 7.5655 7.5655 20.9820
angles (deg): 90.00 90.00 120.00
Space group R3 (No. 146, hexagonal axes)
One atom of each set of equivalent atoms:
Ac 0.0004 0.3508 0.0000 (multiplicity 9)
Ac 0.0069 0.6527 0.4984 (multiplicity 9)
Os 0.0000 0.0000 0.7457 (multiplicity 3)
Pd 0.0000 0.0000 0.4228 (multiplicity 3)
Pd 0.0000 0.0000 0.9235 (multiplicity 3)
Rh 0.0000 0.0000 0.2466 (multiplicity 3)

No. 17
Below is SrSm2Ge4 after structural relaxation, with properties calculated at the GGA-PBE level.

Magnetization (μB/atom): 0.0000
Energy of formation (meV per atom): -691

a b c (Å): 4.089 4.535 18.751
angles (deg): 90.00 90.00 90.00
Space group Immm (No. 71)
One atom of each set of equivalent atoms:
Sr 0.000 0.000 0.000 (multiplicity 2)
Sm 0.000 0.500 0.318 (multiplicity 4)
Ge 0.000 0.000 0.429 (multiplicity 4)
Ge 0.000 0.500 0.158 (multiplicity 4)

No. 18
Below is RbHfNi2 after structural relaxation, with properties calculated at the GGA-PBE level.

E above lowest polymorph (meV/atom): 0
Magnetization (μB/atom): 0.0000
Energy of formation (meV per atom): 815

a b c (Å): 7.440 7.440 7.049
angles (deg): 90.00 90.00 90.00
Space group I-42d (No. 122)
One atom of each set of equivalent atoms:
Rb 0.000 0.000 0.000 (multiplicity 4)
Hf 0.000 0.000 0.500 (multiplicity 4)
Ni 0.183 0.250 0.625 (multiplicity 8)

No. 19
Below is Er4SnBi2 after structural relaxation, with properties calculated at the GGA-PBE level.

Magnetization (μB/atom): 0.0002
Energy of formation (meV per atom): -688

a b c (Å): 9.260 9.260 9.332
angles (deg): 90.00 90.00 90.00
Space group I-42d (No. 122)
One atom of each set of equivalent atoms:
Er 0.072 0.180 0.297 (multiplicity 16)
Sn 0.000 0.000 0.000 (multiplicity 4)
Bi 0.120 0.250 0.625 (multiplicity 8)

No. 20
Below is TmPuGe after structural relaxation, with properties calculated at the GGA-PBE level.

Magnetization (μB/atom): 2.0521
Energy of formation (meV per atom): -229

a b c (Å): 4.8558 4.8558 3.6113
angles (deg): 90.00 90.00 120.00
Space group P3m1 (No. 156)
One atom of each set of equivalent atoms:
Tm 0.0000 0.0000 0.0000 (multiplicity 1)
Pu 0.3333 0.6667 0.5456 (multiplicity 1)
Ge 0.6667 0.3333 0.2061 (multiplicity 1)